(1)
Below is CoRu2Se after structural relaxation, with properties calculated at the PBE level.

Unit cell a=8.154 b=8.154 c=8.154 alpha=20.22 beta=20.22 gamma=20.22
Each line ends with the local moment (μB).
Fractional coordinates of all 4 atoms:
Ru: 0.000 0.000 0.000  0.33
Ru: 0.500 0.500 0.500  0.33
Co: 0.750 0.750 0.750  1.80
Se: 0.250 0.250 0.250  -0.02

The density of states at the Fermi level is 1.2483 states/eV/atom. The uncorrected energy comes out at -6.89 eV/atom. The crystal system is trigonal. Its calculated volume is 56.7 Å³/cell. As for the uncorrected formation energy: 9.019 kcal/mol of atoms. Its symmetry is R-3m.

(2)
Below is CsNb3Re after structural relaxation, with properties calculated at the PBE level.

Unit cell a=4.919 b=4.919 c=4.919 alpha=90.00 beta=90.00 gamma=90.00
Fractional coordinates of all 5 atoms:
Nb: 0.500 0.000 0.000
Nb: 0.000 0.500 0.000
Nb: 0.000 0.000 0.500
Re: 0.500 0.500 0.500
Cs: 0.000 0.000 0.000

The density of states at the Fermi level is 1.8984 states/eV/atom. The uncorrected energy comes out at -5.43 eV/atom. The crystal system is cubic. Its calculated volume is 119.0 Å³/cell. The calculation puts the energy above the most stable polymorph in this dataset at 1807 meV/atom. Its symmetry is Pm-3m.

(3)
Below is BaNaDy after structural relaxation, with properties calculated at the PBE level.

Unit cell a=3.859 b=3.859 c=19.552 alpha=84.20 beta=84.20 gamma=59.65
Each line ends with the local moment (μB).
Fractional coordinates of all 6 atoms:
Dy: 0.734 0.734 0.085  0.08
Dy: 0.019 0.019 0.222  0.08
Na: 0.637 0.637 0.380  0.00
Na: 0.116 0.116 0.927  0.00
Ba: 0.252 0.252 0.558  0.00
Ba: 0.501 0.501 0.749  0.00

The density of states at the Fermi level is 1.4765 states/eV/atom. The uncorrected energy comes out at -2.40 eV/atom. The crystal system is monoclinic. Its calculated volume is 249.5 Å³/cell. Its symmetry is C2/m.

(4)
Below is RbCuMo after structural relaxation, with properties calculated at the PBE level.

Unit cell a=4.761 b=12.020 c=3.651 alpha=95.83 beta=112.50 gamma=93.09
Fractional coordinates of all 6 atoms:
Cu: 0.596 0.739 0.580
Cu: 0.454 0.872 0.053
Mo: 0.019 0.790 0.308
Mo: 0.166 0.673 0.843
Rb: 0.546 0.442 0.449
Rb: 0.923 0.067 0.853

The density of states at the Fermi level is 0.6756 states/eV/atom. The uncorrected energy comes out at -4.64 eV/atom. The crystal system is triclinic. Its calculated volume is 191.0 Å³/cell. The calculation puts the energy above the most stable polymorph in this dataset at 118 meV/atom. Its symmetry is P1.

(5)
Below is Li2Tb2In after structural relaxation, with properties calculated at the PBE level.

Unit cell a=6.131 b=5.817 c=8.968 alpha=64.66 beta=70.01 gamma=58.20
Fractional coordinates of all 10 atoms:
Tb: 0.784 0.338 0.351
Tb: 0.216 0.662 0.649
Tb: 0.473 0.162 0.149
Tb: 0.527 0.838 0.851
Li: 0.248 0.241 0.510
Li: 0.752 0.759 0.490
Li: 0.999 0.259 0.990
Li: 0.001 0.741 0.010
In: 0.812 0.250 0.750
In: 0.188 0.750 0.250

The density of states at the Fermi level is 1.0008 states/eV/atom. The uncorrected energy comes out at -3.28 eV/atom. The crystal system is monoclinic. Its calculated volume is 242.8 Å³/cell. Its symmetry is C2/c.

(6)
Below is CaAlIr2 after structural relaxation, with properties calculated at the PBE level.

Unit cell a=5.203 b=5.203 c=5.203 alpha=135.94 beta=135.94 gamma=64.07
Fractional coordinates of all 4 atoms:
Ir: 0.000 0.000 0.000
Ir: 0.250 0.750 0.500
Ca: 0.750 0.250 0.500
Al: 0.500 0.500 0.000

The density of states at the Fermi level is 1.0297 states/eV/atom. The uncorrected energy comes out at -6.00 eV/atom. The crystal system is tetragonal. Its calculated volume is 67.2 Å³/cell. Its symmetry is I-4m2.

(7)
Below is CaGa2TeO6 after structural relaxation, with properties calculated at the PBE level.

Unit cell a=5.855 b=7.025 c=7.025 alpha=84.36 beta=79.06 gamma=79.06
Fractional coordinates of all 20 atoms:
Ga: 0.753 0.614 0.796
Ga: 0.747 0.204 0.386
Ga: 0.247 0.386 0.204
Ga: 0.253 0.796 0.614
O: 0.960 0.733 0.610
O: 0.040 0.267 0.390
O: 0.540 0.390 0.267
O: 0.407 0.866 0.369
O: 0.593 0.134 0.631
O: 0.659 0.773 0.018
O: 0.907 0.369 0.866
O: 0.093 0.631 0.134
O: 0.159 0.018 0.773
O: 0.460 0.610 0.733
O: 0.341 0.227 0.982
O: 0.841 0.982 0.227
Ca: 0.750 0.098 0.902
Ca: 0.250 0.902 0.098
Te: 0.750 0.720 0.280
Te: 0.250 0.280 0.720

The density of states at the Fermi level is 0.0000 states/eV/atom. The uncorrected energy comes out at -5.95 eV/atom. The crystal system is monoclinic. Its calculated volume is 278.0 Å³/cell. As for the uncorrected formation energy: -42.878 kcal/mol of atoms. Its symmetry is C2/c.

(8)
Below is LiLa4Fe after structural relaxation, with properties calculated at the PBE level.

Unit cell a=6.511 b=6.511 c=6.511 alpha=60.00 beta=60.00 gamma=60.00
Each line ends with the local moment (μB).
Fractional coordinates of all 6 atoms:
Fe: 0.000 0.000 0.000  -3.16
La: 0.883 0.372 0.372  0.07
La: 0.372 0.372 0.883  0.07
La: 0.372 0.883 0.372  0.07
La: 0.372 0.372 0.372  0.07
Li: 0.750 0.750 0.750  0.00

The density of states at the Fermi level is 1.8096 states/eV/atom. The uncorrected energy comes out at -4.29 eV/atom. The crystal system is cubic. Its calculated volume is 195.2 Å³/cell. Its symmetry is F-43m.

(9)
Below is Pr3Tm12Th after structural relaxation, with properties calculated at the PBE level.

Unit cell a=5.003 b=5.003 c=20.027 alpha=90.00 beta=90.00 gamma=90.00
Fractional coordinates of all 16 atoms:
Tm: 0.500 0.000 0.122
Tm: 0.500 0.500 0.249
Tm: 0.500 0.500 0.000
Tm: 0.000 0.500 0.374
Tm: 0.500 0.500 0.500
Tm: 0.500 0.000 0.626
Tm: 0.000 0.500 0.878
Tm: 0.500 0.000 0.374
Tm: 0.500 0.500 0.751
Tm: 0.000 0.500 0.122
Tm: 0.500 0.000 0.878
Tm: 0.000 0.500 0.626
Pr: 0.000 0.000 0.751
Pr: 0.000 0.000 0.249
Pr: 0.000 0.000 0.500
Th: 0.000 0.000 0.000

The density of states at the Fermi level is 1.6040 states/eV/atom. The uncorrected energy comes out at -4.68 eV/atom. The crystal system is tetragonal. Its calculated volume is 501.3 Å³/cell. Its symmetry is P4/mmm.

> Which of these has the highest density of states at the Fermi level?

CsNb3Re

> What is the formula in the fifth record?

Li2Tb2In

Copy entry 6 word for word.
Below is CaAlIr2 after structural relaxation, with properties calculated at the PBE level.

Unit cell a=5.203 b=5.203 c=5.203 alpha=135.94 beta=135.94 gamma=64.07
Fractional coordinates of all 4 atoms:
Ir: 0.000 0.000 0.000
Ir: 0.250 0.750 0.500
Ca: 0.750 0.250 0.500
Al: 0.500 0.500 0.000

The density of states at the Fermi level is 1.0297 states/eV/atom. The uncorrected energy comes out at -6.00 eV/atom. The crystal system is tetragonal. Its calculated volume is 67.2 Å³/cell. Its symmetry is I-4m2.

> Among the records above, which one has the highest uncorrected energy?

BaNaDy